First-principles (GGA-PBE) data for a relaxed CoAgBr4 crystal, as listed in Alexandria.

Lattice parameters (Å, degrees): 3.6617 6.4613 7.2760 98.28 90.00 106.46
Each line ends with the local moment (μB).
Fractional positions:
Co 0.0000 0.0000 0.0000  0.10
Ag 0.5000 0.0000 0.5000  0.00
Br 0.3881 0.7761 0.0916  0.00
Br 0.1104 0.2208 0.3052  0.00
Br 0.6119 0.2239 0.9084  0.00
Br 0.8896 0.7792 0.6948  0.00

Properties
Spin magnetization: 0.017 μB/atom
Density: 4.9 g/cm3
Formation energy from raw total energies: -263 meV/atom
Total energy: -18.22 eV/cell

---

First-principles (GGA-PBE) data for a relaxed Pm4CdRh2 crystal, as listed in Alexandria.

Lattice parameters (Å, degrees): 7.8435 7.8435 7.8435 108.58 111.26 108.58
Fractional positions:
Pm 0.1506 0.8895 0.3963
Pm 0.6037 0.7543 0.4932
Pm 0.0111 0.6105 0.7568
Pm 0.2432 0.2543 0.8537
Pm 0.5994 0.7457 0.9889
Pm 0.7389 0.2457 0.8494
Pm 0.5068 0.1105 0.2611
Pm 0.1463 0.3895 0.4006
Cd 0.0000 0.0000 0.0000
Cd 0.7500 0.5000 0.2500
Rh 0.8750 0.1209 0.4959
Rh 0.5041 0.3791 0.6250
Rh 0.3750 0.8791 0.7541
Rh 0.2459 0.6209 0.1250

Properties
Spin magnetization: 0.000 μB/atom
ΔE_f: -0.445 eV/atom
Density: 8.0 g/cm3
Total energy: -75.47 eV/cell

---

First-principles (GGA-PBE) data for a relaxed Y6Er3Sc crystal, as listed in Alexandria.

Lattice parameters (Å, degrees): 9.7238 9.7238 6.8316 44.63 44.63 60.00
Fractional positions:
Y 0.9324 0.5935 0.2226
Y 0.2515 0.9324 0.2226
Y 0.5935 0.2515 0.2226
Y 0.0824 0.4382 0.7214
Y 0.7579 0.0824 0.7214
Y 0.4382 0.7579 0.7214
Er 0.3654 0.3654 0.9037
Er 0.6120 0.6120 0.1641
Er 0.1042 0.1042 0.6873
Sc 0.8624 0.8624 0.4127

Properties
Spin magnetization: 0.004 μB/atom
ΔE_f: 0.223 eV/atom
Density: 5.6 g/cm3
Total energy: -56.57 eV/cell

---

First-principles (GGA-PBE) data for a relaxed La3Y2ErSb6 crystal, as listed in Alexandria.

Lattice parameters (Å, degrees): 7.8110 7.8110 7.7775 99.63 99.63 119.99
Fractional positions:
La 0.1672 0.8328 0.5000
La 0.8328 0.1672 0.5000
La 0.5000 0.5000 0.5000
Y 0.3336 0.6664 0.0000
Y 0.6664 0.3336 0.0000
Er 0.0000 0.0000 0.0000
Sb 0.9214 0.5896 0.7640
Sb 0.7472 0.7472 0.2367
Sb 0.0786 0.4104 0.2360
Sb 0.5896 0.9214 0.7640
Sb 0.2528 0.2528 0.7633
Sb 0.4104 0.0786 0.2360

Properties
Spin magnetization: 0.000 μB/atom
Density: 6.4 g/cm3
Formation energy from raw total energies: -1205 meV/atom
Total energy: -71.47 eV/cell

---

First-principles (GGA-PBE) data for a relaxed Sm3YHoSc crystal, as listed in Alexandria.

Lattice parameters (Å, degrees): 5.5501 11.2073 6.5667 98.55 90.00 104.34
Fractional positions:
Sm 0.8405 0.6811 0.2411
Sm 0.7734 0.5467 0.6890
Sm 0.4771 0.9543 0.2404
Sm 0.2266 0.4533 0.3110
Sm 0.5229 0.0457 0.7596
Sm 0.1595 0.3189 0.7589
Y 0.3346 0.6692 0.9663
Y 0.6654 0.3308 0.0337
Ho 0.0717 0.1435 0.1932
Ho 0.9283 0.8565 0.8068
Sc 0.6311 0.2623 0.4720
Sc 0.3689 0.7377 0.5280

Properties
Spin magnetization: 0.000 μB/atom
ΔE_f: 0.178 eV/atom
Density: 6.4 g/cm3
Total energy: -60.93 eV/cell

---

First-principles (GGA-PBE) data for a relaxed KRb2Ba2 crystal, as listed in Alexandria.

Lattice parameters (Å, degrees): 5.7548 5.7548 12.9189 77.13 77.13 90.00
Fractional positions:
K 0.0000 0.0000 0.0000
Ba 0.4095 0.4095 0.1810
Ba 0.5905 0.5905 0.8190
Rb 0.7500 0.2500 0.5000
Rb 0.2500 0.7500 0.5000

Properties
Spin magnetization: 0.000 μB/atom
ΔE_f: 0.278 eV/atom
Density: 2.0 g/cm3
Total energy: -5.49 eV/cell

---

First-principles (GGA-PBE) data for a relaxed LaPrNdSm crystal, as listed in Alexandria.

Lattice parameters (Å, degrees): 5.8726 5.8726 5.8726 60.00 60.00 60.00
Fractional positions:
Pr 0.7500 0.7500 0.7500
Nd 0.5000 0.5000 0.5000
Sm 0.0000 0.0000 0.0000
La 0.2500 0.2500 0.2500

Properties
Spin magnetization: 0.001 μB/atom
ΔE_f: 0.124 eV/atom
Density: 6.7 g/cm3
Total energy: -18.70 eV/cell

---

First-principles (GGA-PBE) data for a relaxed AcCeCd crystal, as listed in Alexandria.

Lattice parameters (Å, degrees): 5.7647 6.2049 9.0586 48.21 90.00 117.68
Each line ends with the local moment (μB).
Fractional positions:
Cd 0.0283 0.0567 0.8078  0.00
Cd 0.9717 0.9433 0.1922  0.00
Ce 0.5713 0.1426 0.3023  0.33
Ce 0.4287 0.8574 0.6977  0.33
Ac 0.7437 0.4874 0.7314  0.00
Ac 0.2563 0.5126 0.2686  0.00

Properties
Spin magnetization: 0.120 μB/atom
ΔE_f: -0.046 eV/atom
Density: 8.4 g/cm3
Total energy: -22.19 eV/cell